(1)
Dy2YEr2Tm after structural relaxation. Source: Alexandria via LeMat-Bulk, functional PBE.

The value obtained for the energy relative to the elements is 95 kJ/mol of formula units.

a = 6.9124 Å, b = 16.0430 Å, c = 3.4616 Å
α = 90.00°, β = 90.00°, γ = 90.00°
Last column: nearest neighbours and their distance in Å.
Space group Pnnm (No. 58)
Symmetry-distinct sites (fractional):
Dy  0.2490  0.1574  0.0000 (multiplicity 4)  4 Er 3.45-3.47, 2 Dy 3.46, 2 Tm 3.51, 2 Y 3.52
Y  0.0000  0.5000  0.0000 (multiplicity 2)  2 Tm 3.46, 2 Y 3.46, 4 Er 3.49, 4 Dy 3.52
Er  0.2505  0.3450  0.5000 (multiplicity 4)  4 Dy 3.45-3.47, 2 Er 3.46, 2 Tm 3.49, 2 Y 3.49
Tm  0.0000  0.0000  0.5000 (multiplicity 2)  2 Y 3.46, 2 Tm 3.46, 4 Er 3.49, 4 Dy 3.51

(2)
Al2SiSe after structural relaxation. Source: Alexandria via LeMat-Bulk, functional PBE.

Its excess energy over the best structure of this formula in the dataset is 0.510 eV/atom. As for the uncorrected formation energy: 211 meV/atom.

a = 10.8241 Å, b = 3.3037 Å, c = 4.3024 Å
α = 90.00°, β = 103.23°, γ = 90.00°
Last column: nearest neighbours and their distance in Å.
Space group C2/m (No. 12)
Symmetry-distinct sites (fractional):
Al  0.2046  0.0000  0.2278 (multiplicity 4)  1 Se 2.73, 2 Si 2.76, 4 Al 2.85-2.90
Si  0.0000  0.5000  0.0000 (multiplicity 2)  4 Se 2.71, 4 Al 2.76
Se  0.0000  0.0000  0.5000 (multiplicity 2)  4 Si 2.71, 2 Al 2.73

(3)
Nb5AlB after structural relaxation. Source: Alexandria via LeMat-Bulk, functional PBE.

The value obtained for the energy relative to the elements is -71 kJ/mol of formula units.

a = 7.4272 Å, b = 7.9910 Å, c = 8.0778 Å
α = 90.00°, β = 100.65°, γ = 90.00°
Last column: nearest neighbours and their distance in Å.
Space group C2/c (No. 15)
Symmetry-distinct sites (fractional):
Nb  0.0000  0.1167  0.2500 (multiplicity 4)  2 B 2.22
Nb  0.1289  0.2362  0.6348 (multiplicity 8)  1 B 2.30
Nb  0.2224  0.4105  0.0261 (multiplicity 8)  1 B 2.23
Al  0.0000  0.4556  0.2500 (multiplicity 4)  7 Nb 2.69-2.86
B  0.0000  0.0000  0.0000 (multiplicity 4)  6 Nb 2.22-2.30

(4)
TbDy2As3 after structural relaxation. Source: Alexandria via LeMat-Bulk, functional PBE.

The value obtained for the energy relative to the elements is -891 kJ/mol of formula units.

a = 4.1286 Å, b = 5.8323 Å, c = 12.3734 Å
α = 90.00°, β = 90.00°, γ = 90.00°
Last column: nearest neighbours and their distance in Å.
Space group Immm (No. 71)
Symmetry-distinct sites (fractional):
Tb  0.0000  0.0000  0.0000 (multiplicity 2)  6 As 2.92
Dy  0.0000  0.0000  0.3335 (multiplicity 4)  6 As 2.91-2.92
As  0.0000  0.5000  0.0000 (multiplicity 2)  2 Tb 2.92, 4 Dy 2.92
As  0.0000  0.5000  0.3327 (multiplicity 4)  4 Dy 2.91-2.92, 2 Tb 2.92

(5)
MgSc2B2Rh5 after structural relaxation. Source: Alexandria via LeMat-Bulk, functional PBE.

The value obtained for the energy relative to the elements is -789 kJ/mol of formula units.

a = 9.4358 Å, b = 9.4358 Å, c = 3.0776 Å
α = 90.00°, β = 90.00°, γ = 90.00°
Last column: nearest neighbours and their distance in Å.
Space group P4/mbm (No. 127)
Symmetry-distinct sites (fractional):
Mg  0.0000  0.0000  0.0000 (multiplicity 2)  8 Rh 2.67
Sc  0.1754  0.3246  0.0000 (multiplicity 4)  3 B 2.67-2.87, 10 Rh 2.80-2.96
B  0.1245  0.6245  0.0000 (multiplicity 4)  6 Rh 2.18-2.26
Rh  0.0000  0.5000  0.5000 (multiplicity 2)  4 B 2.26
Rh  0.0709  0.7796  0.5000 (multiplicity 8)  2 B 2.18

(6)
BeZn8 after structural relaxation. Source: Alexandria via LeMat-Bulk, functional PBE.

The value obtained for the energy relative to the elements is 83 kJ/mol of formula units.

a = 8.1628 Å, b = 8.1628 Å, c = 3.8561 Å
α = 90.00°, β = 90.00°, γ = 90.00°
Last column: nearest neighbours and their distance in Å.
Space group I4/mmm (No. 139)
Symmetry-distinct sites (fractional):
Be  0.0000  0.0000  0.0000 (multiplicity 2)  12 Zn 2.67-2.68
Zn  0.0000  0.3266  0.0000 (multiplicity 8)  1 Be 2.67, 11 Zn 2.70-2.83
Zn  0.1608  0.1608  0.5000 (multiplicity 8)  10 Zn 2.62-2.82, 2 Be 2.68

(7)
Sb6Pb4O19 after structural relaxation. Source: Alexandria via LeMat-Bulk, functional PBE.

As for the uncorrected formation energy: -1390 meV/atom.

a = 9.5440 Å, b = 9.5440 Å, c = 9.5440 Å
α = 90.00°, β = 90.00°, γ = 90.00°
Last column: nearest neighbours and their distance in Å.
Space group I23 (No. 197)
Symmetry-distinct sites (fractional):
Sb  0.0000  0.3380  0.5000 (multiplicity 12)  6 O 1.98-2.04
Pb  0.1461  0.1461  0.8539 (multiplicity 8)  4 O 2.41-2.70
O  0.0000  0.0000  0.0000 (multiplicity 2)  4 Pb 2.41
O  0.0000  0.0000  0.3607 (multiplicity 12)  2 Sb 2.04
O  0.0084  0.3350  0.2883 (multiplicity 24)  2 Sb 1.98-2.02